1.
4
Lattice="4.091 0.000 0.000 2.046 3.543 0.000 2.046 1.181 8.003" Properties=species:S:1:pos:R:3 comment="Ce2RuI (GGA-PBE, optimized geometry)" raw_formation_energy_ev_per_fu=-2.671 sg="R-3m, No. 166" energy_ev_per_atom=-6.341 magnetic_moment_mub_per_cell=1.3 relative_energy_ev_per_atom=0.000 vol_a3_per_cell=116.01 pbc="T T T"
I 4.091 2.362 4.002
Ru 0.000 0.000 0.000
Ce 2.046 1.181 1.478
Ce 6.137 3.543 6.525


2.
5
Lattice="-3.398 -0.684 2.236 0.255 -2.067 3.559 0.581 9.411 7.568" Properties=species:S:1:pos:R:3 comment="Ce2RuI2 (GGA-PBE, optimized geometry)" raw_formation_energy_ev_per_fu=-4.197 sg="C2/m, No. 12" energy_ev_per_atom=-5.688 magnetic_moment_mub_per_cell=1.3 vol_a3_per_cell=174.93 pbc="T T T"
Ce -2.162 2.589 5.117
Ce -0.401 4.070 8.246
Ru 0.418 3.672 5.563
I -1.189 -0.475 5.658
I -1.374 7.135 7.705


3.
4
Lattice="-0.371 -0.064 -4.039 2.847 -1.788 -2.270 -3.199 -7.636 -1.623" Properties=species:S:1:pos:R:3 comment="Ce2RuI (GGA-PBE, optimized geometry)" raw_formation_energy_ev_per_fu=-2.627 sg="R3m, No. 160" energy_ev_per_atom=-6.330 magnetic_moment_mub_per_cell=1.3 relative_energy_ev_per_atom=0.011 vol_a3_per_cell=115.52 pbc="T T T"
Ce -2.459 -6.344 -1.711
Ce 0.075 -1.927 -2.014
Ru -1.529 -8.837 -5.831
I -0.370 -4.760 -3.965


4.
4
Lattice="-1.140 -0.435 3.312 2.318 -2.622 0.453 5.599 5.404 2.637" Properties=species:S:1:pos:R:3 comment="Ce2RuI (GGA-PBE, optimized geometry)" raw_formation_energy_ev_per_fu=-2.057 sg="P4/mmm, No. 123" energy_ev_per_atom=-6.188 magnetic_moment_mub_per_cell=2.0 relative_energy_ev_per_atom=0.154 vol_a3_per_cell=102.34 pbc="T T T"
I 3.388 1.173 3.201
Ru 0.589 -1.529 1.882
Ce 4.456 4.301 2.099
Ce 1.143 1.103 0.538


5.
4
Lattice="4.053 -0.001 -0.002 -2.026 3.511 0.000 -2.030 -1.171 8.124" Properties=species:S:1:pos:R:3 comment="CeSmRuI (GGA-PBE, optimized geometry)" raw_formation_energy_ev_per_fu=-2.752 sg="Cm, No. 8" energy_ev_per_atom=-6.058 magnetic_moment_mub_per_cell=0.3 vol_a3_per_cell=115.59 pbc="T T T"
Ce -1.648 3.253 0.360
Sm 0.381 -0.258 5.465
Ru -1.643 0.913 7.207
I 2.408 0.914 2.967


6.
4
Lattice="-3.327 1.975 -1.135 -0.212 -3.902 0.994 0.883 2.018 8.099" Properties=species:S:1:pos:R:3 comment="TbCeRuI (GGA-PBE, optimized geometry)" raw_formation_energy_ev_per_fu=-2.734 sg="R3m, No. 160" energy_ev_per_atom=-6.031 magnetic_moment_mub_per_cell=0.3 vol_a3_per_cell=113.54 pbc="T T T"
Tb -1.126 1.772 5.039
Ce -0.448 -3.414 1.193
Ru -0.381 0.235 7.342
I -2.985 1.165 2.267


What did the sixth record say?
4
Lattice="-3.327 1.975 -1.135 -0.212 -3.902 0.994 0.883 2.018 8.099" Properties=species:S:1:pos:R:3 comment="TbCeRuI (GGA-PBE, optimized geometry)" raw_formation_energy_ev_per_fu=-2.734 sg="R3m, No. 160" energy_ev_per_atom=-6.031 magnetic_moment_mub_per_cell=0.3 vol_a3_per_cell=113.54 pbc="T T T"
Tb -1.126 1.772 5.039
Ce -0.448 -3.414 1.193
Ru -0.381 0.235 7.342
I -2.985 1.165 2.267